# 1
Hf2NbTc2 | the Alexandria database | PBE | optimized geometry; calculated formation energy = 332.6 meV/atom; theoretical density = 10.9 g/cm3; relative energy among the computed polymorphs = 506 meV per atom; magnetic moment = 0.00 μB/f.u.; D(E_F) = 6.2 states/eV/f.u.; space group = I4/mmm, No. 139
1.0
3.470 0.000 0.000
0.000 3.470 0.000
1.735 1.735 8.190
Tc Hf Nb
2 2 1
Direct
0.750 0.250 0.500 Tc
0.250 0.750 0.500 Tc
0.604 0.604 0.792 Hf
0.396 0.396 0.208 Hf
0.000 0.000 0.000 Nb

=====

# 2
InCuSn | the Alexandria database | PBE | optimized geometry; calculated formation energy = -0.5 meV/atom; theoretical density = 7.4 g/cm3; magnetic moment = 0.00 μB/f.u.; D(E_F) = 1.3 states/eV/f.u.; space group = Pmmn, No. 59
1.0
-1.190 3.110 -3.093
0.053 -4.529 -4.572
-4.427 -0.880 0.819
Cu In Sn
2 2 2
Direct
0.708 0.045 0.881 Cu
0.207 0.538 0.381 Cu
0.207 0.790 0.881 In
0.707 0.792 0.381 In
0.207 0.293 0.881 Sn
0.707 0.290 0.381 Sn

=====

# 3
Al2Cu2Au | the Alexandria database | PBE | optimized geometry; calculated formation energy = 46.4 meV/atom; theoretical density = 8.0 g/cm3; relative energy among the computed polymorphs = 255 meV per atom; magnetic moment = 0.00 μB/f.u.; D(E_F) = 2.1 states/eV/f.u.; space group = I4/mmm, No. 139
1.0
3.730 0.000 0.000
0.000 3.730 0.000
1.865 1.865 5.650
Cu Al Au
2 2 1
Direct
0.395 0.395 0.209 Cu
0.605 0.605 0.791 Cu
0.250 0.750 0.500 Al
0.750 0.250 0.500 Al
0.000 0.000 0.000 Au

=====

# 4
Nd5Sm3Er2 | the Alexandria database | PBE | optimized geometry; calculated formation energy = 361.9 meV/atom; theoretical density = 6.9 g/cm3; relative energy among the computed polymorphs = 187 meV per atom; magnetic moment = 0.00 μB/f.u.; D(E_F) = 15.1 states/eV/f.u.; space group = Ibam, No. 72
1.0
-7.042 8.508 1.232
-4.963 4.253 -7.617
-9.926 -0.774 -1.270
Sm Nd Er
6 10 4
Direct
0.125 0.126 0.623 Sm
0.250 0.000 0.000 Sm
0.750 0.000 0.000 Sm
0.625 0.623 0.126 Sm
0.375 0.377 0.874 Sm
0.875 0.874 0.377 Sm
0.501 0.249 0.249 Nd
0.377 0.727 0.520 Nd
0.001 0.249 0.249 Nd
0.250 0.500 0.500 Nd
0.877 0.520 0.727 Nd
0.750 0.500 0.500 Nd
0.999 0.751 0.751 Nd
0.623 0.273 0.480 Nd
0.499 0.751 0.751 Nd
0.123 0.480 0.273 Nd
0.623 0.960 0.793 Er
0.123 0.793 0.960 Er
0.877 0.207 0.040 Er
0.377 0.040 0.207 Er

=====

Q: Look up the magnetic moment of the second one.
A: 0.00 μB/f.u.

=====

Q: The lowest calculated formation energy belongs to which entry?
A: InCuSn

=====

What did the first record say?
Hf2NbTc2 | the Alexandria database | PBE | optimized geometry; calculated formation energy = 332.6 meV/atom; theoretical density = 10.9 g/cm3; relative energy among the computed polymorphs = 506 meV per atom; magnetic moment = 0.00 μB/f.u.; D(E_F) = 6.2 states/eV/f.u.; space group = I4/mmm, No. 139
1.0
3.470 0.000 0.000
0.000 3.470 0.000
1.735 1.735 8.190
Tc Hf Nb
2 2 1
Direct
0.750 0.250 0.500 Tc
0.250 0.750 0.500 Tc
0.604 0.604 0.792 Hf
0.396 0.396 0.208 Hf
0.000 0.000 0.000 Nb